Record 1
First-principles (PBE) data for a geometry-optimized KCdInAsCl structure, as listed in the Alexandria database.

abc: 4.5615 4.5615 26.4298
angles: 90.00 90.00 120.00
Space group R3m (No. 160, hexagonal axes)
Asymmetric unit:
K  0.0000  0.0000  0.0000 (multiplicity 3)
Cd  0.0000  0.0000  0.5609 (multiplicity 3)
In  0.0000  0.0000  0.8060 (multiplicity 3)
As  0.0000  0.0000  0.2237 (multiplicity 3)
Cl  0.0000  0.0000  0.3942 (multiplicity 3)

## Properties
magnetization: 0.00 μB per cell
final energy: -43.44 eV/cell
offset from the most stable computed form: 7 meV per atom
raw formation energy: -0.647 eV per atom
calculated volume: 476.2 Å³/cell

Record 2
First-principles (PBE) data for a geometry-optimized KCdInAsCl structure, as listed in the Alexandria database.

abc: 12.403 4.275 7.051
angles: 90.00 123.61 90.00
Space group Cm (No. 8)
Asymmetric unit:
K  0.000  0.000  0.000 (multiplicity 2)
Cd  0.362  0.000  0.357 (multiplicity 2)
In  0.125  0.500  0.706 (multiplicity 2)
As  0.268  0.000  0.917 (multiplicity 2)
Cl  0.206  0.500  0.384 (multiplicity 2)

## Properties
magnetization: 0.00 μB per cell
final energy: -28.74 eV/cell
offset from the most stable computed form: 30 meV per atom
raw formation energy: -0.624 eV per atom
calculated volume: 311.3 Å³/cell

Record 3
First-principles (PBE) data for a geometry-optimized KCdInAsCl structure, as listed in the Alexandria database.

abc: 4.3014 4.3014 29.7119
angles: 90.00 90.00 120.00
Space group R3m (No. 160, hexagonal axes)
Asymmetric unit:
K  0.0000  0.0000  0.0000 (multiplicity 3)
Cd  0.0000  0.0000  0.5407 (multiplicity 3)
In  0.0000  0.0000  0.4456 (multiplicity 3)
As  0.0000  0.0000  0.7455 (multiplicity 3)
Cl  0.0000  0.0000  0.2678 (multiplicity 3)

## Properties
magnetization: 0.00 μB per cell
final energy: -43.55 eV/cell
offset from the most stable computed form: 0 meV per atom
raw formation energy: -0.654 eV per atom
calculated volume: 476.1 Å³/cell

Record 4
First-principles (PBE) data for a geometry-optimized KCdInAsCl structure, as listed in the Alexandria database.

abc: 4.3902 4.3902 29.4748
angles: 90.00 90.00 120.00
Space group R3m (No. 160, hexagonal axes)
Asymmetric unit:
K  0.0000  0.0000  0.0000 (multiplicity 3)
Cd  0.0000  0.0000  0.1903 (multiplicity 3)
In  0.0000  0.0000  0.4346 (multiplicity 3)
As  0.0000  0.0000  0.8208 (multiplicity 3)
Cl  0.0000  0.0000  0.2804 (multiplicity 3)

## Properties
magnetization: 0.00 μB per cell
final energy: -43.36 eV/cell
offset from the most stable computed form: 13 meV per atom
raw formation energy: -0.641 eV per atom
calculated volume: 492.0 Å³/cell